# 1
The following is a PBE calculation of a geometry-optimized CdNClF2 structure, from Alexandria.

Unit cell a=4.1537 b=4.1537 c=6.0085 alpha=90.00 beta=90.00 gamma=90.00
Each line ends with the local moment (μB).
Sites, in units of the cell vectors:
Cd1 0.0000 0.0000 0.0000  0.02
F1 0.0000 0.5000 0.0000  0.02
F2 0.5000 0.0000 0.0000  0.02
N1 0.0000 0.0000 0.5000  1.67
Cl1 0.5000 0.5000 0.5000  -0.24

Computed properties:
energy above the lowest structure with this stoichiometry: 0 meV/atom
V: 104 Å³/cell


# 2
The following is a PBE calculation of a geometry-optimized CdN2ClF structure, from Alexandria.

Unit cell a=3.6735 b=3.6735 c=5.2240 alpha=90.00 beta=90.00 gamma=90.00
Each line ends with the local moment (μB).
Sites, in units of the cell vectors:
N1 0.0000 0.5000 0.0000  0.25
N2 0.5000 0.0000 0.0000  0.25
Cd1 0.5000 0.5000 0.5000  0.00
F1 0.0000 0.0000 0.5000  0.00
Cl1 0.0000 0.0000 0.0000  -0.01

Computed properties:
energy above the lowest structure with this stoichiometry: 37 meV/atom
V: 70 Å³/cell


# 3
The following is a PBE calculation of a geometry-optimized CdN2ClF structure, from Alexandria.

Unit cell a=4.5056 b=4.5056 c=4.2786 alpha=90.00 beta=90.00 gamma=90.00
Each line ends with the local moment (μB).
Sites, in units of the cell vectors:
F1 0.0000 0.0000 0.5000  0.06
Cd1 0.0000 0.0000 0.0000  0.07
N1 0.5000 0.0000 0.0000  1.28
N2 0.0000 0.5000 0.0000  1.28
Cl1 0.5000 0.5000 0.5000  -0.19

Computed properties:
energy above the lowest structure with this stoichiometry: 0 meV/atom
V: 87 Å³/cell


# 4
The following is a PBE calculation of a geometry-optimized CdNClF2 structure, from Alexandria.

Unit cell a=4.8883 b=4.8883 c=3.3309 alpha=90.00 beta=90.00 gamma=90.00
Sites, in units of the cell vectors:
F1 0.5000 0.0000 0.0000
F2 0.0000 0.5000 0.0000
Cl1 0.0000 0.0000 0.0000
N1 0.0000 0.0000 0.5000
Cd1 0.5000 0.5000 0.5000

Computed properties:
energy above the lowest structure with this stoichiometry: 203 meV/atom
V: 80 Å³/cell


# 5
The following is a PBE calculation of a geometry-optimized NaCdClF2 structure, from Alexandria.

Unit cell a=3.8475 b=3.8475 c=6.6466 alpha=106.82 beta=106.82 gamma=90.00
Sites, in units of the cell vectors:
Na1 0.1587 0.1587 0.3174
F1 0.2547 0.7547 0.5094
F2 0.7547 0.2547 0.5094
Cl1 0.4815 0.4815 0.9629
Cd1 0.8504 0.8504 0.7009

Computed properties:
energy above the lowest structure with this stoichiometry: 0 meV/atom
V: 90 Å³/cell


# 6
The following is a PBE calculation of a geometry-optimized NaCdClF2 structure, from Alexandria.

Unit cell a=4.3842 b=4.3842 c=5.3616 alpha=90.00 beta=90.00 gamma=90.00
Sites, in units of the cell vectors:
Na1 0.5000 0.5000 0.5000
Cl1 0.0000 0.0000 0.5000
F1 0.5000 0.0000 0.0000
F2 0.0000 0.5000 0.0000
Cd1 0.0000 0.0000 0.0000

Computed properties:
energy above the lowest structure with this stoichiometry: 22 meV/atom
V: 103 Å³/cell


# 7
The following is a PBE calculation of a geometry-optimized Cd2ClOF structure, from Alexandria.

Unit cell a=3.9295 b=6.6888 c=8.1492 alpha=87.56 beta=76.05 gamma=72.92
Sites, in units of the cell vectors:
Cl1 0.8514 0.7629 0.5343
Cl2 0.1486 0.2371 0.4657
Cd1 0.1632 0.7005 0.9731
Cd2 0.4106 0.8608 0.3179
Cd3 0.5894 0.1392 0.6821
Cd4 0.8368 0.2995 0.0269
F1 0.9039 0.0099 0.1822
F2 0.0961 0.9901 0.8178
O1 0.6261 0.6507 0.0972
O2 0.3739 0.3493 0.9028

Computed properties:
V: 199 Å³/cell


# 8
The following is a PBE calculation of a geometry-optimized CdP2ClF structure, from Alexandria.

Unit cell a=4.1276 b=4.1276 c=5.8132 alpha=90.00 beta=90.00 gamma=90.00
Sites, in units of the cell vectors:
P1 0.0000 0.5000 0.0000
P2 0.5000 0.0000 0.0000
Cl1 0.0000 0.0000 0.5000
F1 0.0000 0.0000 0.0000
Cd1 0.5000 0.5000 0.5000

Computed properties:
energy above the lowest structure with this stoichiometry: 0 meV/atom
V: 99 Å³/cell


Number 1: formation energy from raw total energies 0.061 eV/atom. Number 2: formation energy from raw total energies 1.384 eV/atom. Number 3: formation energy from raw total energies 1.347 eV/atom. Number 4: formation energy from raw total energies 0.264 eV/atom. Number 5: formation energy from raw total energies -1.952 eV/atom. Number 6: formation energy from raw total energies -1.931 eV/atom. Number 7: formation energy from raw total energies -1.362 eV/atom. Number 8: formation energy from raw total energies 0.295 eV/atom.